[1]
Here is a relaxed structure of Eu2YCd from Alexandria via LeMat-Bulk. Energies are from PBE-GGA.

Lattice parameters (Å, degrees): 3.818 3.818 9.272 90.00 90.00 90.00
Positions (direct):
Eu (0.000, 0.000, 0.781)
Eu (0.000, 0.000, 0.219)
Y (0.500, 0.500, 0.500)
Cd (0.500, 0.500, 0.000)

Values from the calculation:
E, eV/cell: -28.3
Energy above the most stable polymorph in this dataset, kJ per mole of atoms: 0.0
Symmetry: P4/mmm (123)

***

[2]
Here is a relaxed structure of EuY2Cd from Alexandria via LeMat-Bulk. Energies are from PBE-GGA.

Lattice parameters (Å, degrees): 5.529 5.529 5.529 60.00 60.00 60.00
Positions (direct):
Eu (0.500, 0.500, 0.500)
Y (0.250, 0.250, 0.250)
Y (0.750, 0.750, 0.750)
Cd (0.000, 0.000, 0.000)

Values from the calculation:
E, eV/cell: -24.2
Energy above the most stable polymorph in this dataset, kJ per mole of atoms: 8.3
Symmetry: Fm-3m (225)

***

[3]
Here is a relaxed structure of Eu2YCd from Alexandria via LeMat-Bulk. Energies are from PBE-GGA.

Lattice parameters (Å, degrees): 5.128 5.016 5.016 90.00 90.00 90.00
Positions (direct):
Eu (0.000, 0.000, 0.500)
Eu (0.000, 0.500, 0.000)
Y (0.500, 0.000, 0.000)
Cd (0.500, 0.500, 0.500)

Values from the calculation:
E, eV/cell: -28.1
Energy above the most stable polymorph in this dataset, kJ per mole of atoms: 5.2
Symmetry: P4/mmm (123)